Entry from Alexandria: Li4Mn3O7 after structural relaxation (GGA+U).

* total magnetization: 22.00 μB/cell
* crystal system: triclinic
* calculated total energy: -6.4154 eV/atom
* excess energy over the best structure of this formula in the dataset: 0.003 eV/atom

POSCAR file:
```
Li4Mn3O7
1.0
-3.209 -3.297 -2.182
4.487 -4.400 -3.215
-0.528 -5.753 5.084
Li Mn O
8 6 14
Cartesian
-2.315 -5.827 1.176
0.571 -7.687 -2.795
-0.679 -8.365 1.915
1.430 -5.086 -2.227
3.066 -7.624 -1.488
0.180 -5.764 2.482
2.244 -2.200 -1.608
0.375 -6.725 -0.156
-0.486 -9.523 -0.805
1.237 -3.928 0.493
-0.407 -1.455 -0.332
1.910 -9.046 0.715
-1.159 -4.405 -1.027
1.158 -11.995 0.019
1.257 -8.611 -1.050
-0.406 -6.191 -1.967
-1.633 -6.665 2.986
0.488 -3.379 -1.227
2.067 -5.501 -0.283
3.541 -7.896 0.550
-2.487 -9.508 2.367
-1.317 -7.950 -0.030
-2.790 -5.555 -0.863
0.263 -10.072 0.915
2.384 -6.786 -3.298
-0.506 -4.840 0.738
1.157 -7.260 1.655
3.238 -3.943 -2.680
```